Entry 1:
{
  "formula": "Re2OsAu",
  "functional": "PBE-GGA",
  "state": "optimized geometry",
  "crystal_system": "orthorhombic",
  "ef_ev_per_atom": 0.5567,
  "m_tot_mub_per_cell": 0.000,
  "e_above_lowest_polymorph_ev_per_fu": 1.22,
  "cell": [[2.711, 0.014, 0.000], [-1.225, 2.418, 0.000], [0.000, 0.000, 9.626]],
  "species": ["Re", "Os", "Re", "Au"],
  "fractional_positions": [[0.000, 0.000, 0.515], [0.500, 0.500, 0.750], [0.000, 0.000, 0.985], [0.500, 0.500, 0.250]]
}

Entry 2:
{
  "formula": "Pm7Sm2Tm2",
  "functional": "PBE-GGA",
  "state": "optimized geometry",
  "crystal_system": "monoclinic",
  "ef_ev_per_atom": 0.1691,
  "m_tot_mub_per_cell": 0.000,
  "e_above_lowest_polymorph_ev_per_fu": 0.00,
  "cell": [[8.279, 0.986, 1.423], [0.214, 6.648, 1.354], [0.214, -1.067, 6.700]],
  "species": ["Tm", "Pm", "Pm", "Tm", "Pm", "Sm", "Pm", "Pm", "Pm", "Pm", "Sm"],
  "fractional_positions": [[0.500, 0.806, 0.194], [0.000, 0.000, 0.000], [0.182, 0.097, 0.502], [0.500, 0.194, 0.806], [0.520, 0.298, 0.298], [0.163, 0.592, 0.592], [0.818, 0.498, 0.903], [0.818, 0.903, 0.498], [0.182, 0.502, 0.097], [0.480, 0.702, 0.702], [0.837, 0.408, 0.408]]
}

Entry 3:
{
  "formula": "Ac4PtRh3",
  "functional": "PBE-GGA",
  "state": "optimized geometry",
  "crystal_system": "orthorhombic",
  "ef_ev_per_atom": -0.8004,
  "m_tot_mub_per_cell": 0.000,
  "cell": [[4.138, 0.000, 0.000], [0.000, 4.428, 0.000], [0.000, 0.000, 11.623]],
  "species": ["Ac", "Pt", "Ac", "Rh", "Rh", "Ac", "Rh", "Ac"],
  "fractional_positions": [[0.000, 0.500, 0.861], [0.500, 0.500, 0.086], [0.000, 0.000, 0.138], [0.500, 0.000, 0.911], [0.000, 0.500, 0.589], [0.500, 0.000, 0.637], [0.000, 0.000, 0.410], [0.500, 0.500, 0.368]]
}

Entry 4:
{
  "formula": "Sc5Tl2Au",
  "functional": "PBE-GGA",
  "state": "optimized geometry",
  "crystal_system": "orthorhombic",
  "ef_ev_per_atom": -0.3748,
  "m_tot_mub_per_cell": 0.001,
  "cell": [[-4.503, -1.306, -0.346], [1.731, -5.016, -3.587], [1.193, -6.769, 10.041]],
  "species": ["Tl", "Sc", "Sc", "Au", "Sc", "Sc", "Tl", "Au", "Sc", "Sc", "Tl", "Sc", "Sc", "Sc", "Tl", "Sc"],
  "fractional_positions": [[0.500, 0.633, 0.151], [0.500, 0.826, 0.903], [0.000, 0.500, 0.000], [0.000, 0.500, 0.500], [0.000, 0.613, 0.726], [0.000, 0.387, 0.274], [0.500, 0.867, 0.651], [0.000, 0.000, 0.000], [0.500, 0.326, 0.597], [0.000, 0.113, 0.774], [0.500, 0.133, 0.349], [0.500, 0.174, 0.097], [0.500, 0.674, 0.403], [0.000, 0.000, 0.500], [0.500, 0.367, 0.849], [0.000, 0.887, 0.226]]
}

Entry 5:
{
  "formula": "Ac5Pu2Ge5",
  "functional": "PBE-GGA",
  "state": "optimized geometry",
  "crystal_system": "monoclinic",
  "ef_ev_per_atom": -0.4425,
  "m_tot_mub_per_cell": 11.133,
  "cell": [[4.459, 0.000, 0.000], [-2.229, 7.496, -0.244], [0.000, -3.971, 12.266]],
  "species": ["Ge", "Pu", "Ac", "Ac", "Ge", "Pu", "Ac", "Ge", "Ge", "Ge", "Ac", "Ac"],
  "fractional_positions": [[0.110, 0.220, 0.413], [0.950, 0.901, 0.208], [0.657, 0.314, 0.040], [0.736, 0.472, 0.351], [0.686, 0.373, 0.795], [0.050, 0.099, 0.792], [0.343, 0.686, 0.960], [0.000, 0.000, 0.000], [0.314, 0.627, 0.205], [0.890, 0.780, 0.587], [0.500, 0.000, 0.500], [0.264, 0.528, 0.649]]
}

Entry 6:
{
  "formula": "Al2CoIr",
  "functional": "PBE-GGA",
  "state": "optimized geometry",
  "crystal_system": "tetragonal",
  "ef_ev_per_atom": -0.2569,
  "m_tot_mub_per_cell": 1.468,
  "e_above_lowest_polymorph_ev_per_fu": 2.11,
  "cell": [[-1.876, -1.382, 1.532], [2.012, -0.766, 1.772], [-1.186, 5.964, 3.926]],
  "species": ["Al", "Co", "Ir", "Al"],
  "fractional_positions": [[0.500, 0.500, 0.288], [0.000, 0.000, 0.502], [0.500, 0.500, 0.738], [0.000, 0.000, 0.972]]
}

Entry 7:
{
  "formula": "LiTb2Tl4",
  "functional": "PBE-GGA",
  "state": "optimized geometry",
  "crystal_system": "tetragonal",
  "ef_ev_per_atom": -0.1936,
  "m_tot_mub_per_cell": 0.000,
  "e_above_lowest_polymorph_ev_per_fu": 0.00,
  "cell": [[5.167, 0.000, 0.000], [0.000, 5.167, 0.000], [0.000, 0.000, 7.344]],
  "species": ["Li", "Tb", "Tl", "Tb", "Tl", "Tl", "Tl"],
  "fractional_positions": [[0.500, 0.500, 0.000], [0.500, 0.500, 0.500], [0.500, 0.000, 0.252], [0.000, 0.000, 0.000], [0.000, 0.500, 0.252], [0.500, 0.000, 0.748], [0.000, 0.500, 0.748]]
}

Entry 8:
{
  "formula": "Er7Pb2Au2",
  "functional": "PBE-GGA",
  "state": "optimized geometry",
  "crystal_system": "orthorhombic",
  "ef_ev_per_atom": -0.3124,
  "m_tot_mub_per_cell": 0.000,
  "e_above_lowest_polymorph_ev_per_fu": 2.12,
  "cell": [[-4.248, -5.490, -0.845], [3.556, -3.511, 4.934], [-3.095, 3.835, 4.960]],
  "species": ["Er", "Er", "Pb", "Er", "Er", "Er", "Pb", "Er", "Au", "Au", "Er"],
  "fractional_positions": [[0.500, 0.745, 0.000], [0.500, 0.242, 0.500], [0.185, 0.500, 0.185], [0.000, 0.745, 0.500], [0.500, 0.758, 0.500], [0.000, 0.000, 0.000], [0.815, 0.500, 0.815], [0.000, 0.255, 0.500], [0.715, 0.000, 0.285], [0.285, 0.000, 0.715], [0.500, 0.255, 0.000]]
}

Entry 9:
{
  "formula": "Ce2H3Pb",
  "functional": "PBE-GGA",
  "state": "optimized geometry",
  "crystal_system": "monoclinic",
  "m_tot_mub_per_cell": 2.218,
  "e_above_lowest_polymorph_ev_per_fu": 0.00,
  "cell": [[4.119, 0.000, 0.000], [-2.060, 7.735, 0.320], [0.000, -3.139, 6.186]],
  "species": ["H", "H", "Ce", "H", "H", "Ce", "Pb", "Ce", "Ce", "H", "Pb", "H"],
  "fractional_positions": [[0.315, 0.630, 0.545], [0.410, 0.820, 0.395], [0.482, 0.965, 0.768], [0.042, 0.084, 0.375], [0.958, 0.916, 0.625], [0.518, 0.035, 0.232], [0.854, 0.708, 0.924], [0.812, 0.624, 0.358], [0.188, 0.376, 0.642], [0.590, 0.180, 0.605], [0.146, 0.292, 0.076], [0.685, 0.370, 0.455]]
}

Entry 10:
{
  "formula": "InSiTe2N",
  "functional": "PBE-GGA",
  "state": "optimized geometry",
  "crystal_system": "tetragonal",
  "m_tot_mub_per_cell": 0.000,
  "e_above_lowest_polymorph_ev_per_fu": 0.00,
  "formation_energy_uncorrected_ev_per_atom": 0.106,
  "cell": [[-0.014, 3.236, 4.979], [-4.925, -2.788, 1.799], [1.831, -2.276, 1.485]],
  "species": ["Te", "Si", "In", "N", "Te"],
  "fractional_positions": [[0.500, 0.000, 0.000], [0.000, 0.000, 0.000], [0.500, 0.500, 0.500], [0.000, 0.000, 0.500], [0.000, 0.500, 0.000]]
}

Entry 11:
{
  "formula": "RbGa2SnRu",
  "functional": "PBE-GGA",
  "state": "optimized geometry",
  "crystal_system": "tetragonal",
  "ef_ev_per_atom": -0.1263,
  "m_tot_mub_per_cell": 0.000,
  "cell": [[-0.068, 3.714, -3.251], [-4.646, 1.050, 1.297], [1.761, 3.251, 3.677]],
  "species": ["Rb", "Ru", "Ga", "Ga", "Sn"],
  "fractional_positions": [[0.500, 0.500, 0.500], [0.000, 0.000, 0.000], [0.500, 0.000, 0.000], [0.000, 0.500, 0.000], [0.000, 0.000, 0.500]]
}

Entry 12:
{
  "formula": "Rb2HfRhF6",
  "functional": "PBE-GGA",
  "state": "optimized geometry",
  "crystal_system": "tetragonal",
  "m_tot_mub_per_cell": 1.000,
  "formation_energy_uncorrected_ev_per_atom": -2.601,
  "cell": [[6.171, 0.000, 0.000], [0.000, 6.171, 0.000], [3.086, 3.086, 5.457]],
  "species": ["F", "F", "Rh", "Hf", "F", "F", "F", "Rb", "Rb", "F"],
  "fractional_positions": [[0.771, 0.229, 0.000], [0.229, 0.229, 0.000], [0.500, 0.500, 0.000], [0.000, 0.000, 0.000], [0.816, 0.816, 0.369], [0.229, 0.771, 0.000], [0.771, 0.771, 0.000], [0.750, 0.250, 0.500], [0.250, 0.750, 0.500], [0.184, 0.184, 0.631]]
}